This record from Alexandria describes a relaxed Ca3NiCl2F6 crystal. The functional is PBE+U.

As for the energy: -118.24 eV per cell. The calculation puts the density of states at the Fermi level at 0.000 states/eV/f.u. The volume is 433.59 Å³/cell.

The structure belongs to space group C2/m (No. 12); the cell edges are 11.912, 6.812 and 5.401 Å and the angles 90.00°, 98.42° and 90.00°. Symmetry generates all atoms from Ca at (0.000, 0.000, 0.000), Ca at (0.250, 0.250, 0.500), Ni at (0.000, 0.500, 0.500), Cl at (0.203, 0.000, 0.851), F at (0.064, 0.253, 0.296) and F at (0.161, 0.500, 0.656).